A geometry-optimized CaMoPt2 structure. Source: Alexandria via LeMat-Bulk, functional PBE-GGA.

Summary:
Energy of formation in eV/atom: -0.13

Cell and atoms, written as CIF:
```
data_CaMoPt2
_chemical_formula_sum 'Ca2 Mo2 Pt4'
_symmetry_space_group_name_H-M 'C 1 2/m 1'
_symmetry_Int_Tables_number 12
_cell_length_a 8.1167
_cell_length_b 2.8210
_cell_length_c 6.8146
_cell_angle_alpha 90.00
_cell_angle_beta 96.05
_cell_angle_gamma 90.00
loop_
_symmetry_equiv_pos_as_xyz
'x,y,z'
'-x,-y,-z'
'-x,y,-z'
'x,-y,z'
'x+1/2,y+1/2,z'
'-x+1/2,-y+1/2,-z'
'-x+1/2,y+1/2,-z'
'x+1/2,-y+1/2,z'
loop_
_atom_site_label
_atom_site_type_symbol
_atom_site_fract_x
_atom_site_fract_y
_atom_site_fract_z
_atom_site_occupancy
Ca1 Ca 0.0000 0.0000 0.0000 1
Mo1 Mo 0.0000 0.5000 0.5000 1
Pt1 Pt 0.2441 0.5000 0.2971 1
```

A geometry-optimized CaMoPt structure. Source: Alexandria via LeMat-Bulk, functional PBE-GGA.

Summary:
Energy of formation in eV/atom: -0.24

Cell and atoms, written as CIF:
```
data_CaMoPt
_chemical_formula_sum 'Ca2 Mo2 Pt2'
_symmetry_space_group_name_H-M 'P 1 m 1'
_symmetry_Int_Tables_number 6
_cell_length_a 3.2994
_cell_length_b 3.2732
_cell_length_c 10.9827
_cell_angle_alpha 90.00
_cell_angle_beta 91.61
_cell_angle_gamma 90.00
loop_
_symmetry_equiv_pos_as_xyz
'x,y,z'
'x,-y,z'
loop_
_atom_site_label
_atom_site_type_symbol
_atom_site_fract_x
_atom_site_fract_y
_atom_site_fract_z
_atom_site_occupancy
Ca1 Ca 0.0000 0.0000 0.0000 1
Ca2 Ca 0.0302 0.0000 0.3383 1
Mo1 Mo 0.5336 0.5000 0.5505 1
Mo2 Mo 0.9470 0.0000 0.6675 1
Pt1 Pt 0.4895 0.5000 0.8169 1
Pt2 Pt 0.5156 0.5000 0.1732 1
```

no.,excess energy over the best structure of this formula in the dataset (eV per formula unit),E_tot (eV per atom)
1,1.04,-6.359
2,0.13,-6.528